Record 1
# LiLa2Y | the Alexandria database | PBEsol | optimized geometry
data_LiLa2Y
_chemical_formula_sum 'Li1 La2 Y1'
_cell_length_a 11.5089
_cell_length_b 11.5089
_cell_length_c 11.5089
_cell_angle_alpha 17.66
_cell_angle_beta 17.66
_cell_angle_gamma 17.66
_space_group_name_H-M_alt 'P 1'
_space_group_IT_number 1
loop_
_space_group_symop_operation_xyz
'x,y,z'
loop_
_atom_site_label
_atom_site_fract_x
_atom_site_fract_y
_atom_site_fract_z
_atom_site_occupancy
Li1 0.0000 0.0000 0.0000 1
La1 0.5033 0.5033 0.5033 1
La2 0.7500 0.7500 0.7500 1
Y1 0.2548 0.2548 0.2548 1
# calculated formation energy	0.4	eV per formula unit
# ρ	5.07	g/cm³
# polymorph energy (0 for the lowest one)	23	meV per atom
# DOS(E_F)	4.958	states/eV/f.u.
# total magnetic moment	0.000	μB/atom
# total energy	-19.12	eV for the cell shown



Record 2
# LiLa2Y | the Alexandria database | PBEsol | optimized geometry
data_LiLa2Y
_chemical_formula_sum 'Li1 La2 Y1'
_cell_length_a 6.6850
_cell_length_b 6.6850
_cell_length_c 6.6850
_cell_angle_alpha 148.41
_cell_angle_beta 130.26
_cell_angle_gamma 60.13
_space_group_name_H-M_alt 'P 1'
_space_group_IT_number 1
loop_
_space_group_symop_operation_xyz
'x,y,z'
loop_
_atom_site_label
_atom_site_fract_x
_atom_site_fract_y
_atom_site_fract_z
_atom_site_occupancy
Li1 0.0000 0.0000 0.0000 1
La1 0.2237 0.7237 0.5000 1
La2 0.7763 0.2763 0.5000 1
Y1 0.5000 0.5000 0.0000 1
# calculated formation energy	0.3	eV per formula unit
# ρ	5.24	g/cm³
# polymorph energy (0 for the lowest one)	17	meV per atom
# DOS(E_F)	4.217	states/eV/f.u.
# total magnetic moment	0.000	μB/atom
# total energy	-19.14	eV for the cell shown



Record 3
# LiLa2Y | the Alexandria database | PBEsol | optimized geometry
data_LiLa2Y
_chemical_formula_sum 'Li1 La2 Y1'
_cell_length_a 11.6230
_cell_length_b 11.6230
_cell_length_c 11.6230
_cell_angle_alpha 17.51
_cell_angle_beta 17.51
_cell_angle_gamma 17.51
_space_group_name_H-M_alt 'P 1'
_space_group_IT_number 1
loop_
_space_group_symop_operation_xyz
'x,y,z'
loop_
_atom_site_label
_atom_site_fract_x
_atom_site_fract_y
_atom_site_fract_z
_atom_site_occupancy
Li1 0.0000 0.0000 0.0000 1
La1 0.2511 0.2511 0.2511 1
La2 0.7489 0.7489 0.7489 1
Y1 0.5000 0.5000 0.5000 1
# calculated formation energy	0.3	eV per formula unit
# ρ	5.00	g/cm³
# polymorph energy (0 for the lowest one)	0	meV per atom
# DOS(E_F)	3.998	states/eV/f.u.
# total magnetic moment	0.000	μB/atom
# total energy	-19.21	eV for the cell shown



Record 4
# LiLa2Y | the Alexandria database | PBEsol | optimized geometry
data_LiLa2Y
_chemical_formula_sum 'Li1 La2 Y1'
_cell_length_a 3.6358
_cell_length_b 3.6358
_cell_length_c 8.9754
_cell_angle_alpha 90.00
_cell_angle_beta 90.00
_cell_angle_gamma 90.00
_space_group_name_H-M_alt 'P 1'
_space_group_IT_number 1
loop_
_space_group_symop_operation_xyz
'x,y,z'
loop_
_atom_site_label
_atom_site_fract_x
_atom_site_fract_y
_atom_site_fract_z
_atom_site_occupancy
Li1 0.0000 0.0000 0.0000 1
La1 0.0000 0.0000 0.4836 1
La2 0.5000 0.5000 0.7621 1
Y1 0.5000 0.5000 0.2135 1
# calculated formation energy	0.3	eV per formula unit
# ρ	5.23	g/cm³
# polymorph energy (0 for the lowest one)	7	meV per atom
# DOS(E_F)	6.383	states/eV/f.u.
# total magnetic moment	0.000	μB/atom
# total energy	-19.18	eV for the cell shown



Record 5
# LiLa2Y | the Alexandria database | PBEsol | optimized geometry
data_LiLa2Y
_chemical_formula_sum 'Li1 La2 Y1'
_cell_length_a 6.5871
_cell_length_b 6.5871
_cell_length_c 6.5871
_cell_angle_alpha 146.99
_cell_angle_beta 129.10
_cell_angle_gamma 62.02
_space_group_name_H-M_alt 'P 1'
_space_group_IT_number 1
loop_
_space_group_symop_operation_xyz
'x,y,z'
loop_
_atom_site_label
_atom_site_fract_x
_atom_site_fract_y
_atom_site_fract_z
_atom_site_occupancy
Li1 0.0000 0.0000 0.0000 1
La1 0.4965 0.4965 0.0000 1
La2 0.7663 0.2663 0.5000 1
Y1 0.2234 0.7234 0.5000 1
# calculated formation energy	0.3	eV per formula unit
# ρ	5.19	g/cm³
# polymorph energy (0 for the lowest one)	16	meV per atom
# DOS(E_F)	5.347	states/eV/f.u.
# total magnetic moment	0.000	μB/atom
# total energy	-19.14	eV for the cell shown



Record 6
# LiLa2Y | the Alexandria database | PBEsol | optimized geometry
data_LiLa2Y
_chemical_formula_sum 'Li1 La2 Y1'
_cell_length_a 3.5102
_cell_length_b 5.5121
_cell_length_c 6.2786
_cell_angle_alpha 90.00
_cell_angle_beta 101.35
_cell_angle_gamma 90.00
_space_group_name_H-M_alt 'P 1'
_space_group_IT_number 1
loop_
_space_group_symop_operation_xyz
'x,y,z'
loop_
_atom_site_label
_atom_site_fract_x
_atom_site_fract_y
_atom_site_fract_z
_atom_site_occupancy
Li1 0.0000 0.0000 0.0000 1
La1 0.1893 0.5000 0.7723 1
La2 0.8107 0.5000 0.2277 1
Y1 0.5000 0.0000 0.5000 1
# calculated formation energy	0.6	eV per formula unit
# ρ	5.21	g/cm³
# polymorph energy (0 for the lowest one)	72	meV per atom
# DOS(E_F)	5.153	states/eV/f.u.
# total magnetic moment	0.000	μB/atom
# total energy	-18.92	eV for the cell shown



Record 7
# LiLa2Y | the Alexandria database | PBEsol | optimized geometry
data_LiLa2Y
_chemical_formula_sum 'Li1 La2 Y1'
_cell_length_a 3.5297
_cell_length_b 3.5297
_cell_length_c 9.7724
_cell_angle_alpha 90.00
_cell_angle_beta 90.00
_cell_angle_gamma 90.00
_space_group_name_H-M_alt 'P 1'
_space_group_IT_number 1
loop_
_space_group_symop_operation_xyz
'x,y,z'
loop_
_atom_site_label
_atom_site_fract_x
_atom_site_fract_y
_atom_site_fract_z
_atom_site_occupancy
Li1 0.0000 0.0000 0.0000 1
La1 0.5000 0.5000 0.2389 1
La2 0.5000 0.5000 0.7611 1
Y1 0.0000 0.0000 0.5000 1
# calculated formation energy	0.3	eV per formula unit
# ρ	5.10	g/cm³
# polymorph energy (0 for the lowest one)	17	meV per atom
# DOS(E_F)	5.593	states/eV/f.u.
# total magnetic moment	0.000	μB/atom
# total energy	-19.14	eV for the cell shown



Record 8
# Li2LaZn | the Alexandria database | PBEsol | optimized geometry
data_Li2LaZn
_chemical_formula_sum 'Li2 La1 Zn1'
_cell_length_a 3.3167
_cell_length_b 3.3167
_cell_length_c 7.4846
_cell_angle_alpha 90.00
_cell_angle_beta 90.00
_cell_angle_gamma 90.00
_space_group_name_H-M_alt 'P 1'
_space_group_IT_number 1
loop_
_space_group_symop_operation_xyz
'x,y,z'
loop_
_atom_site_label
_atom_site_fract_x
_atom_site_fract_y
_atom_site_fract_z
_atom_site_occupancy
Li1 0.0000 0.0000 0.1788 1
Li2 0.0000 0.0000 0.8212 1
La1 0.5000 0.5000 0.5000 1
Zn1 0.5000 0.5000 0.0000 1
# calculated formation energy	0.2	eV per formula unit
# ρ	4.40	g/cm³
# DOS(E_F)	3.251	states/eV/f.u.
# total magnetic moment	0.000	μB/atom
# total energy	-10.70	eV for the cell shown